BaTl3: optimized geometry, PBE-GGA.

Properties
As for the space group: R-3m (166). Its energy relative to the elements is -107 kJ/mol of formula units. The calculation puts the total magnetization at 0.000 μB/atom.

POSCAR file:
```
BaTl3
1.0
0.2663 2.8380 6.9408
-5.5903 -1.3459 4.8205
2.1548 -6.3442 6.5671
Ba Tl
3 9
direct
0.2145 0.2145 0.3566
0.7855 0.7855 0.6434
0.0000 0.0000 0.0000
0.7067 0.2615 0.3250
0.7067 0.7067 0.3250
0.2933 0.7385 0.6750
0.7385 0.2933 0.6750
0.5000 0.0000 0.0000
0.2615 0.7067 0.3250
0.5000 0.5000 0.0000
0.0000 0.5000 0.0000
0.2933 0.2933 0.6750
```